This record from Alexandria via LeMat-Bulk describes crystalline ErSn3Pt12 at its relaxed geometry. The functional is PBE.

```
ErSn3Pt12
1.0
4.071 0.000 0.000
0.000 4.071 0.000
0.000 0.000 16.257
Er Sn Pt
1 3 12
direct
0.000 0.000 0.000 Er
0.000 0.000 0.249 Sn
0.000 0.000 0.500 Sn
0.000 0.000 0.751 Sn
0.000 0.500 0.127 Pt
0.000 0.500 0.376 Pt
0.000 0.500 0.624 Pt
0.000 0.500 0.873 Pt
0.500 0.000 0.127 Pt
0.500 0.000 0.376 Pt
0.500 0.000 0.624 Pt
0.500 0.000 0.873 Pt
0.500 0.500 0.000 Pt
0.500 0.500 0.253 Pt
0.500 0.500 0.500 Pt
0.500 0.500 0.747 Pt
```

## Properties
Its total energy is -98.13 eV for the cell shown. The total magnetization is 0.00 μB per formula unit. For the energy of formation from the pure elements, the calculation gives -566.6 meV per atom. As for the space-group type: P4/mmm (123). The volume is 269 Å³/cell.